Record 1
A plane-wave DFT calculation with PBE was carried out for a relaxed BeAl4Ir crystal.

abc: 5.002 5.002 5.002
angles: 60.00 60.00 60.00
Sites, in units of the cell vectors:
Al 0.375 0.375 0.875
Al 0.375 0.875 0.375
Al 0.875 0.375 0.375
Al 0.375 0.375 0.375
Ir 0.000 0.000 0.000
Be 0.750 0.750 0.750

- Formation enthalpy at 0 K: 246 meV per atom
- Mass density: 5.803 g/cm³


Record 2
A plane-wave DFT calculation with PBE was carried out for a relaxed IrAuSe2 crystal.

abc: 5.800 3.836 14.219
angles: 90.00 90.00 90.00
Sites, in units of the cell vectors:
Se 0.287 0.250 0.030
Se 0.713 0.750 0.970
Se 0.075 0.750 0.203
Se 0.575 0.750 0.297
Se 0.425 0.250 0.703
Se 0.213 0.750 0.530
Se 0.787 0.250 0.470
Se 0.925 0.250 0.797
Au 0.206 0.750 0.848
Au 0.294 0.250 0.348
Au 0.794 0.250 0.152
Au 0.706 0.750 0.652
Ir 0.966 0.750 0.384
Ir 0.466 0.750 0.116
Ir 0.034 0.250 0.616
Ir 0.534 0.250 0.884

- Formation energy without anion corrections: 0.01 eV/atom
- Mass density: 11.486 g/cm³